Crystalline Nd2InSn4 at its relaxed geometry, computed with PBE-GGA.

```
Nd2InSn4
1.0
4.5249 0.0000 0.0000
0.0000 4.5249 0.0000
0.0000 0.0000 9.9801
Nd Sn In
2 4 1
direct
0.0000 0.5000 0.2472 Nd
0.5000 0.0000 0.7528 Nd
0.5000 0.5000 0.5000 Sn
0.5000 0.0000 0.1956 Sn
0.0000 0.0000 0.5000 Sn
0.0000 0.5000 0.8044 Sn
0.5000 0.5000 0.0000 In
```

Properties
The calculation puts the formation energy at -0.430 eV per atom. The value obtained for the size of the total moment is 0.000 μB per formula unit. For the electronic total energy, the calculation gives -4.47 eV per atom. Its crystal system is tetragonal.


Crystalline Nd5In2Sn at its relaxed geometry, computed with PBE-GGA.

```
Nd5In2Sn
1.0
8.6588 0.0000 0.0000
0.0000 8.6588 0.0000
-4.3294 -4.3294 6.6750
Nd In Sn
10 4 2
direct
0.5124 0.6840 0.6963 Nd
0.5000 0.5000 0.0000 Nd
0.3160 0.8160 0.3037 Nd
0.1840 0.0124 0.6963 Nd
0.9876 0.4876 0.3037 Nd
0.0000 0.0000 0.0000 Nd
0.6840 0.1840 0.6963 Nd
0.0124 0.5124 0.6963 Nd
0.4876 0.3160 0.3037 Nd
0.8160 0.9876 0.3037 Nd
0.3676 0.8676 0.0000 In
0.1324 0.3676 0.0000 In
0.8676 0.6324 0.0000 In
0.6324 0.1324 0.0000 In
0.2500 0.2500 0.5000 Sn
0.7500 0.7500 0.5000 Sn
```

Properties
The calculation puts the formation energy at -0.465 eV per atom. The value obtained for the size of the total moment is 0.000 μB per formula unit. For the electronic total energy, the calculation gives -4.63 eV per atom. Its crystal system is tetragonal.


Crystalline Nd7In2Sn2 at its relaxed geometry, computed with PBE-GGA.

```
Nd7In2Sn2
1.0
7.0619 -0.0025 -0.8891
0.0038 7.8257 0.0032
-1.3273 -0.0028 6.9928
In Nd Sn
2 7 2
direct
0.8293 0.5000 0.8293 In
0.1707 0.5000 0.1707 In
0.4997 0.2883 0.0002 Nd
0.0002 0.7117 0.4997 Nd
0.5002 0.7327 0.4998 Nd
0.9998 0.2883 0.5003 Nd
0.5003 0.7117 0.9998 Nd
0.4998 0.2673 0.5002 Nd
0.0000 0.0000 0.0000 Nd
0.2887 0.0000 0.7113 Sn
0.7113 0.0000 0.2887 Sn
```

Properties
The calculation puts the formation energy at -0.256 eV per atom. The value obtained for the size of the total moment is 0.000 μB per formula unit. For the electronic total energy, the calculation gives -4.52 eV per atom. Its crystal system is orthorhombic.


Crystalline Nd3InSn at its relaxed geometry, computed with PBE-GGA.

```
Nd3InSn
1.0
9.2910 -0.3110 -0.2326
0.2499 8.2391 -1.0971
0.2498 1.2752 8.2134
Sn Nd In
4 12 4
direct
0.7500 0.6369 0.3631 Sn
0.7500 0.1371 0.8630 Sn
0.2500 0.3631 0.6369 Sn
0.2500 0.8629 0.1370 Sn
0.5812 0.8032 0.0258 Nd
0.9188 0.3029 0.5252 Nd
0.4188 0.5252 0.3029 Nd
0.3347 0.0708 0.4293 Nd
0.0812 0.0258 0.8032 Nd
0.6653 0.9292 0.5707 Nd
0.0812 0.6971 0.4748 Nd
0.4188 0.1968 0.9742 Nd
0.8347 0.4293 0.0708 Nd
0.1653 0.5707 0.9292 Nd
0.9188 0.9742 0.1968 Nd
0.5812 0.4748 0.6971 Nd
0.8613 0.7066 0.7944 In
0.1387 0.2934 0.2056 In
0.3613 0.7944 0.7066 In
0.6387 0.2056 0.2934 In
```

Properties
The calculation puts the formation energy at -0.434 eV per atom. The value obtained for the size of the total moment is 0.000 μB per formula unit. For the electronic total energy, the calculation gives -4.64 eV per atom. Its crystal system is monoclinic.


Crystalline NdInSn at its relaxed geometry, computed with PBE-GGA.

```
NdInSn
1.0
-4.2698 -4.3377 0.0087
4.3689 -4.2962 2.1437
1.1236 3.1726 4.0683
Sn In Nd
2 2 2
direct
0.0000 0.0000 0.5000 Sn
0.0000 0.5000 0.5000 Sn
0.6931 0.2500 0.8862 In
0.3069 0.7500 0.1138 In
0.6727 0.7500 0.8453 Nd
0.3273 0.2500 0.1547 Nd
```

Properties
The calculation puts the formation energy at -0.408 eV per atom. The value obtained for the size of the total moment is 0.000 μB per formula unit. For the electronic total energy, the calculation gives -4.24 eV per atom. Its crystal system is orthorhombic. The value obtained for the energy above the most stable polymorph in this dataset is 93 meV/atom.


Crystalline Nd5InSn4 at its relaxed geometry, computed with PBE-GGA.

```
Nd5InSn4
1.0
-8.2136 0.6830 -0.0961
-0.6366 -8.1910 -3.8068
-0.4221 -3.8887 8.4380
In Sn Nd
2 8 10
direct
0.3344 0.5000 0.5000 In
0.6656 0.0000 0.0000 In
0.4350 0.8158 0.5000 Sn
0.5650 0.6842 0.0000 Sn
0.0179 0.0000 0.1633 Sn
0.4350 0.1842 0.5000 Sn
0.0179 0.0000 0.8367 Sn
0.9821 0.5000 0.3367 Sn
0.5650 0.3158 0.0000 Sn
0.9821 0.5000 0.6633 Sn
0.2590 0.7231 0.7886 Nd
0.2590 0.2769 0.7886 Nd
0.7410 0.7769 0.7114 Nd
0.2590 0.7231 0.2114 Nd
0.7410 0.2231 0.2886 Nd
0.7410 0.7769 0.2886 Nd
0.7410 0.2231 0.7114 Nd
0.0923 0.0000 0.5000 Nd
0.2590 0.2769 0.2114 Nd
0.9077 0.5000 0.0000 Nd
```

Properties
The calculation puts the formation energy at -0.324 eV per atom. The value obtained for the size of the total moment is 0.000 μB per formula unit. For the electronic total energy, the calculation gives -4.58 eV per atom. Its crystal system is orthorhombic.


Crystalline NdInSn3 at its relaxed geometry, computed with PBE-GGA.

```
NdInSn3
1.0
7.2428 2.5450 0.0979
2.7703 4.9948 -2.9580
0.0935 -0.5493 6.5595
In Sn Nd
1 3 1
direct
0.5000 0.0000 0.0000 In
0.0000 0.5000 0.5000 Sn
0.0000 0.5000 0.0000 Sn
0.0000 0.0000 0.5000 Sn
0.0000 0.0000 0.0000 Nd
```

Properties
The calculation puts the formation energy at 0.017 eV per atom. The value obtained for the size of the total moment is 0.000 μB per formula unit. For the electronic total energy, the calculation gives -3.89 eV per atom. Its crystal system is triclinic. The value obtained for the energy above the most stable polymorph in this dataset is 341 meV/atom.


Crystalline Nd5In2Sn2 at its relaxed geometry, computed with PBE-GGA.

```
Nd5In2Sn2
1.0
8.3586 0.0000 0.0000
0.0000 8.4386 0.0000
0.0000 -4.2193 8.1184
Nd Sn In
10 4 4
direct
0.3276 0.9642 0.2839 Nd
0.1724 0.4642 0.2839 Nd
0.1724 0.1803 0.7161 Nd
0.6724 0.3197 0.2839 Nd
0.5000 0.5000 0.0000 Nd
0.6724 0.0358 0.7161 Nd
0.0000 0.0000 0.0000 Nd
0.3276 0.6803 0.7161 Nd
0.8276 0.5358 0.7161 Nd
0.8276 0.8197 0.2839 Nd
0.0000 0.7948 0.5896 Sn
0.0000 0.2052 0.4104 Sn
0.5000 0.7052 0.4104 Sn
0.5000 0.2948 0.5896 Sn
0.6225 0.8775 0.0000 In
0.3775 0.1225 0.0000 In
0.1225 0.6225 0.0000 In
0.8775 0.3775 0.0000 In
```

Properties
The calculation puts the formation energy at -0.571 eV per atom. The value obtained for the size of the total moment is 0.000 μB per formula unit. For the electronic total energy, the calculation gives -4.72 eV per atom. Its crystal system is orthorhombic.


Crystalline NdInSn at its relaxed geometry, computed with PBE-GGA.

```
NdInSn
1.0
4.5074 0.0000 0.0000
0.0000 4.7083 0.0000
0.0000 -2.3541 4.0775
In Sn Nd
1 1 1
direct
0.2832 0.3333 0.6667 In
0.0583 0.0000 0.0000 Sn
0.6585 0.6667 0.3333 Nd
```

Properties
The calculation puts the formation energy at -0.501 eV per atom. The value obtained for the size of the total moment is 0.000 μB per formula unit. For the electronic total energy, the calculation gives -4.34 eV per atom. Its crystal system is trigonal. The value obtained for the energy above the most stable polymorph in this dataset is 0 meV/atom.


Crystalline Nd4InSn15 at its relaxed geometry, computed with PBE-GGA.

```
Nd4InSn15
1.0
-2.6640 -2.5868 -2.9622
3.3997 0.2836 -3.3052
10.0834 -20.2695 8.6323
Sn Nd In
15 4 1
direct
0.5000 0.0000 0.9000 Sn
0.0000 0.5000 0.1000 Sn
0.5000 0.5000 0.0000 Sn
0.5000 0.0000 0.1000 Sn
0.5000 0.5000 0.1989 Sn
0.0000 0.5000 0.3015 Sn
0.5000 0.0000 0.6985 Sn
0.0000 0.5000 0.6985 Sn
0.5000 0.0000 0.5000 Sn
0.5000 0.5000 0.8011 Sn
0.0000 0.5000 0.9000 Sn
0.0000 0.5000 0.5000 Sn
0.5000 0.5000 0.5991 Sn
0.5000 0.0000 0.3015 Sn
0.5000 0.5000 0.4009 Sn
0.0000 0.0000 0.2055 Nd
0.0000 0.0000 0.7945 Nd
0.0000 0.0000 0.5990 Nd
0.0000 0.0000 0.4010 Nd
0.0000 0.0000 0.0000 In
```

Properties
The calculation puts the formation energy at -0.384 eV per atom. The value obtained for the size of the total moment is 0.000 μB per formula unit. For the electronic total energy, the calculation gives -4.48 eV per atom. Its crystal system is tetragonal.


Crystalline NdInSn at its relaxed geometry, computed with PBE-GGA.

```
NdInSn
1.0
5.3328 -0.4722 0.0000
-1.4403 5.1563 0.0000
0.0000 0.0000 6.3800
In Nd Sn
2 2 2
direct
0.0000 0.0000 0.5000 In
0.0000 0.0000 0.0000 In
0.3302 0.6698 0.2500 Nd
0.6698 0.3302 0.7500 Nd
0.3079 0.6921 0.7500 Sn
0.6921 0.3079 0.2500 Sn
```

Properties
The calculation puts the formation energy at -0.479 eV per atom. The value obtained for the size of the total moment is 0.000 μB per formula unit. For the electronic total energy, the calculation gives -4.32 eV per atom. Its crystal system is orthorhombic. The value obtained for the energy above the most stable polymorph in this dataset is 22 meV/atom.


Crystalline Nd12InSn3 at its relaxed geometry, computed with PBE-GGA.

```
Nd12InSn3
1.0
-4.2668 2.1849 1.2974
-2.5016 -3.1667 -2.8943
-1.7799 -12.5298 15.2475
Nd Sn In
12 3 1
direct
0.5000 0.0000 0.1270 Nd
0.5000 0.5000 0.2517 Nd
0.5000 0.5000 0.0000 Nd
0.5000 0.0000 0.6241 Nd
0.5000 0.5000 0.5000 Nd
0.5000 0.5000 0.7483 Nd
0.0000 0.5000 0.1270 Nd
0.5000 0.0000 0.8730 Nd
0.5000 0.0000 0.3759 Nd
0.0000 0.5000 0.6241 Nd
0.0000 0.5000 0.3759 Nd
0.0000 0.5000 0.8730 Nd
0.0000 0.0000 0.2499 Sn
0.0000 0.0000 0.5000 Sn
0.0000 0.0000 0.7501 Sn
0.0000 0.0000 0.0000 In
```

Properties
The calculation puts the formation energy at -0.411 eV per atom. The value obtained for the size of the total moment is 0.000 μB per formula unit. For the electronic total energy, the calculation gives -4.91 eV per atom. Its crystal system is tetragonal.


For the records above, the corresponding calculated volume values read 204.3 500.5 377.2 642.9 170.5 694.1 178.4 572.6 86.5 546.7 171.1 488.7 Å³ per cell.